LiCoPO4 after structural relaxation, computed with GGA+U.

abc: 10.0732 10.0732 16.4689
angles: 82.22 82.22 59.01
Last column: nearest neighbours and their distance in Å.
Fractional coordinates of all 112 atoms:
O 0.6308 0.0115 0.9285  1 P 1.55
O 0.6110 0.3043 0.2685  1 P 1.56
O 0.4393 0.3865 0.6743  1 P 1.55
O 0.7470 0.9187 0.5166  1 P 1.55
O 0.2485 0.9277 0.1806  1 P 1.55
O 0.5147 0.5471 0.4278  1 P 1.55
O 0.2884 0.9731 0.3642  1 P 1.56
O 0.0299 0.5700 0.2038  1 P 1.55
O 0.1117 0.2968 0.2653  1 P 1.56
O 0.0750 0.4539 0.7024  1 P 1.55
O 0.4395 0.8846 0.6738  1 P 1.55
O 0.4813 0.2477 0.0149  1 P 1.56
O 0.6402 0.1983 0.4561  1 P 1.55
O 0.6084 0.8033 0.2678  1 P 1.56
O 0.3405 0.1622 0.6136  1 P 1.56
O 0.0126 0.1283 0.4273  1 P 1.55
O 0.1521 0.8363 0.4493  1 P 1.55
O 0.7907 0.9708 0.3653  1 P 1.56
O 0.9187 0.7470 0.0166  1 P 1.55
O 0.4539 0.0750 0.2024  1 P 1.55
O 0.0115 0.6308 0.4285  1 P 1.55
O 0.0941 0.8444 0.1127  1 P 1.56
O 0.7958 0.1065 0.7647  1 P 1.56
O 0.5174 0.0472 0.4263  1 P 1.55
O 0.1065 0.7958 0.2647  1 P 1.56
O 0.6419 0.6960 0.4554  1 P 1.55
O 0.8444 0.0941 0.6127  1 P 1.56
O 0.9277 0.2485 0.6806  1 P 1.55
O 0.8033 0.6084 0.7678  1 P 1.56
O 0.2456 0.9841 0.5161  1 P 1.56
O 0.0734 0.9557 0.7041  1 P 1.55
O 0.0472 0.5174 0.9263  1 P 1.55
O 0.4692 0.7850 0.8631  1 P 1.56
O 0.3865 0.4393 0.1743  1 P 1.55
O 0.7850 0.4692 0.3631  1 P 1.56
O 0.3383 0.1455 0.9503  1 P 1.55
O 0.9708 0.7907 0.8653  1 P 1.56
O 0.2477 0.4813 0.5149  1 P 1.56
O 0.7497 0.4171 0.5153  1 P 1.56
O 0.5720 0.5312 0.7024  1 P 1.55
O 0.8363 0.1521 0.9493  1 P 1.55
O 0.1983 0.6402 0.9561  1 P 1.55
O 0.5471 0.5147 0.9278  1 P 1.55
O 0.1283 0.0126 0.9273  1 P 1.55
O 0.8406 0.5980 0.6148  1 P 1.56
O 0.9333 0.7479 0.6797  1 P 1.55
O 0.4171 0.7497 0.0153  1 P 1.56
O 0.5312 0.5720 0.2024  1 P 1.55
O 0.2968 0.1117 0.7653  1 P 1.56
O 0.6638 0.3367 0.1153  1 P 1.56
O 0.7479 0.9333 0.1797  1 P 1.55
O 0.9557 0.0734 0.2041  1 P 1.55
O 0.5700 0.0299 0.7038  1 P 1.55
O 0.3043 0.6110 0.7685  1 P 1.56
O 0.5980 0.8406 0.1148  1 P 1.56
O 0.1622 0.3405 0.1136  1 P 1.56
O 0.9841 0.2456 0.0161  1 P 1.56
O 0.3367 0.6638 0.6153  1 P 1.56
O 0.1455 0.3383 0.4503  1 P 1.55
O 0.2836 0.4705 0.3627  1 P 1.56
O 0.6960 0.6419 0.9554  1 P 1.55
O 0.8846 0.4395 0.1738  1 P 1.55
O 0.9731 0.2884 0.8642  1 P 1.56
O 0.4705 0.2836 0.8627  1 P 1.56
Li 0.6370 0.3176 0.0026  4 O 1.96-2.02
Li 0.3176 0.6370 0.5026  4 O 1.96-2.02
Li 0.1979 0.8168 0.0025  4 O 1.95-2.03
Li 0.7052 0.5720 0.2530  4 O 2.01-2.05
Li 0.2612 0.0711 0.2508  4 O 1.97-2.03
Li 0.1377 0.3180 0.0012  4 O 1.96-2.03
Li 0.2057 0.5654 0.2523  4 O 1.99-2.03
Li 0.3180 0.1377 0.5012  4 O 1.96-2.03
Li 0.8152 0.6993 0.5034  4 O 1.96-2.03
Li 0.0711 0.2612 0.7508  4 O 1.97-2.03
Li 0.5654 0.2057 0.7523  4 O 1.99-2.03
Li 0.0761 0.7615 0.7535  4 O 1.97-2.07
Li 0.6993 0.8152 0.0034  4 O 1.96-2.03
Li 0.8168 0.1979 0.5025  4 O 1.95-2.03
Li 0.5720 0.7052 0.7530  4 O 2.01-2.05
Li 0.7615 0.0761 0.2535  4 O 1.97-2.07
P 0.6714 0.5335 0.4408  4 O 1.55-1.56
P 0.0456 0.4133 0.1889  4 O 1.55-1.56
P 0.1737 0.9799 0.4394  4 O 1.55-1.56
P 0.4143 0.5468 0.6897  4 O 1.55-1.56
P 0.5335 0.6714 0.9408  4 O 1.55-1.56
P 0.9799 0.1737 0.9394  4 O 1.55-1.56
P 0.9116 0.1018 0.6906  4 O 1.55-1.56
P 0.6725 0.0349 0.4415  4 O 1.55-1.56
P 0.4133 0.0456 0.6889  4 O 1.55-1.56
P 0.4795 0.1710 0.9395  4 O 1.55-1.56
P 0.6030 0.9142 0.1908  4 O 1.55-1.56
P 0.1018 0.9116 0.1906  4 O 1.55-1.56
P 0.9142 0.6030 0.6908  4 O 1.55-1.56
P 0.1710 0.4795 0.4395  4 O 1.55-1.56
P 0.0349 0.6725 0.9415  4 O 1.55-1.56
P 0.5468 0.4143 0.1897  4 O 1.55-1.56
Co 0.3220 0.0100 0.8786  4 O 1.99-2.00
Co 0.2671 0.3838 0.6282  4 O 1.97-2.00
Co 0.3786 0.5094 0.8790  4 O 2.00-2.01
Co 0.8854 0.2645 0.1289  4 O 1.97-2.00
Co 0.2645 0.8854 0.6289  4 O 1.97-2.00
Co 0.7647 0.4470 0.6290  4 O 1.97-2.00
Co 0.0100 0.3220 0.3786  4 O 1.99-2.00
Co 0.8223 0.0140 0.8795  4 O 1.98-2.00
Co 0.8776 0.5144 0.8786  4 O 1.99-2.00
Co 0.5094 0.3786 0.3790  4 O 2.00-2.01
Co 0.4470 0.7647 0.1290  4 O 1.97-2.00
Co 0.0140 0.8223 0.3795  4 O 1.98-2.00
Co 0.7641 0.9465 0.6304  4 O 1.98-2.00
Co 0.9465 0.7641 0.1304  4 O 1.98-2.00
Co 0.3838 0.2671 0.1282  4 O 1.97-2.00
Co 0.5144 0.8776 0.3786  4 O 1.99-2.00

Properties
DFT total energy = -0.488 Ry per atom
total magnetic moment = 48.0 Bohr magnetons per cell
space-group type = Cc, No. 9
E above lowest polymorph = 0 meV/atom